! SrAlHg2, optimized geometry, DFT PBE-GGA; values from VASP
&SYSTEM
  ibrav = 0, nat = 16, ntyp = 3
/
ATOMIC_SPECIES
Al 26.98 Al.upf
Hg 200.59 Hg.upf
Sr 87.62 Sr.upf
CELL_PARAMETERS angstrom
-4.617 -1.433 -3.941
-4.237 -2.237 5.777
-3.222 8.176 0.802
ATOMIC_POSITIONS angstrom
Al -6.836 2.758 3.367
Al -4.130 -0.990 3.901
Hg -4.827 0.116 -3.041
Sr -3.407 3.696 1.369
Sr -8.669 0.810 1.268
Hg -6.992 3.657 0.709
Hg -5.268 4.567 -1.641
Al -5.240 1.748 -0.729
Hg -5.084 0.849 1.929
Sr -2.909 -0.737 0.019
Sr -9.167 5.243 2.619
Hg -7.249 4.390 5.679
Al -7.946 5.496 -1.263
Hg -6.808 -0.061 4.279
Hg -5.525 5.300 3.329
Hg -6.551 -0.794 -0.691
! Fermi-level density of states: 6.0 states/eV/cell
! Total magnetic moment: 0.00 μB per formula unit
! Calculated total energy: -1.82 eV per atom
! DFT formation energy: -0.312 eV per atom